Entry 1:
A relaxed La3Ru crystal. Source: the Alexandria database, functional GGA-PBE.

Cell lengths 4.4011, 4.4011, 11.0541 Å; angles 90.00, 90.00, 90.00 degrees
Last column: nearest neighbours and their distance in Å.
Space group I4/mmm (No. 139)
One atom of each set of equivalent atoms:
La (0.0000, 0.0000, 0.0000) [2 per cell]  4 Ru 3.11
La (0.0000, 0.5000, 0.2500) [4 per cell]  4 La 3.11
Ru (0.0000, 0.0000, 0.5000) [2 per cell]  4 La 3.11

Calculated values
- energy of formation from the pure elements (eV/atom) = 0.121
- Fermi-level density of states (states/eV/f.u.) = 3.86

Entry 2:
A relaxed CaZnW2 crystal. Source: the Alexandria database, functional GGA-PBE.

Cell lengths 9.2655, 2.7470, 5.9499 Å; angles 90.00, 94.00, 90.00 degrees
Last column: nearest neighbours and their distance in Å.
Space group Cm (No. 8)
One atom of each set of equivalent atoms:
Ca (0.0000, 0.0000, 0.0000) [2 per cell]  2 Ca 2.75, 1 Zn 2.91, 1 W 2.97
Zn (0.2464, 0.0000, 0.7213) [2 per cell]  2 Zn 2.75, 5 W 2.81-2.92, 1 Ca 2.91
W (0.0151, 0.5000, 0.4927) [2 per cell]  5 W 2.60-2.86, 2 Zn 2.81
W (0.2621, 0.5000, 0.3100) [2 per cell]  5 W 2.60-2.86, 2 Zn 2.82

Calculated values
- energy of formation from the pure elements (eV/atom) = 0.597
- Fermi-level density of states (states/eV/f.u.) = 1.74

Entry 3:
A relaxed Sr2Tl2Ga crystal. Source: the Alexandria database, functional GGA-PBE.

Cell lengths 7.9985, 7.9985, 5.1495 Å; angles 90.00, 90.00, 90.00 degrees
Last column: nearest neighbours and their distance in Å.
Space group P4/mbm (No. 127)
One atom of each set of equivalent atoms:
Sr (0.1719, 0.3281, 0.0000) [4 per cell]  6 Tl 3.36-3.58
Tl (0.1377, 0.6377, 0.5000) [4 per cell]  2 Ga 3.10, 1 Tl 3.11, 2 Sr 3.36
Ga (0.0000, 0.0000, 0.5000) [2 per cell]  4 Tl 3.10

Calculated values
- energy of formation from the pure elements (eV/atom) = -0.258
- Fermi-level density of states (states/eV/f.u.) = 3.84

Entry 4:
A relaxed Cd3AgRu crystal. Source: the Alexandria database, functional GGA-PBE.

Cell lengths 5.1508, 5.1508, 5.1508 Å; angles 90.00, 90.00, 90.00 degrees
Last column: nearest neighbours and their distance in Å.
Space group Pm-3m (No. 221)
One atom of each set of equivalent atoms:
Cd (0.0000, 0.0000, 0.5000) [3 per cell]  2 Ru 2.58
Ag (0.5000, 0.5000, 0.5000) [1 per cell]  12 Cd 3.64
Ru (0.0000, 0.0000, 0.0000) [1 per cell]  6 Cd 2.58

Calculated values
- energy of formation from the pure elements (eV/atom) = 0.715
- Fermi-level density of states (states/eV/f.u.) = 2.90

Q: Which VASP energy values were calculated for the entries above? A: -5.894, -6.698, -2.483, -2.259, in eV/atom.